Density functional theory data (GGA-PBE) for crystalline U2InAu6 at its relaxed geometry.

**Energy of formation**: -0.1562 eV/atom
**Crystal system**: trigonal
**Total moment**: 0.53 μB/atom
**Calculated volume**: 563.7 Å³ per cell

CIF file:
```
data_U2InAu6
_chemical_formula_sum 'U6 In3 Au18'
_space_group_name_H-M_alt 'R -3 m'
_space_group_IT_number 166
_space_group_name_Hall '-R 3 2"'
_cell_length_a 8.4346
_cell_length_b 8.4346
_cell_length_c 9.1510
_cell_angle_alpha 90.00
_cell_angle_beta 90.00
_cell_angle_gamma 120.00
loop_
_atom_site_label
_atom_site_fract_x
_atom_site_fract_y
_atom_site_fract_z
U1 0.0000 0.0000 0.1471
In1 0.0000 0.0000 0.5000
Au1 0.0000 0.3356 0.0000
```